# 1
Computed, not measured: a relaxed structure of AgSnHgCl6 at the PBE level of DFT.

The value obtained for the electronic total energy is -2.677 eV/atom. Its formation energy from raw total energies is -651.3 meV/atom.

It has space group P312 (No. 149), with a = 6.7945 Å, b = 6.7945 Å, c = 6.3702 Å, α = 90.00°, β = 90.00° and γ = 120.00°. The distinct sites, in fractional coordinates, are Ag at (0.0000, 0.0000, 0.0000), Sn at (0.3333, 0.6667, 0.0000), Hg at (0.6667, 0.3333, 0.5000) and Cl at (0.0328, 0.3606, 0.2266).

=====

# 2
Computed, not measured: a relaxed structure of SrAg2HgCl at the PBE level of DFT.

The value obtained for the electronic total energy is -1.473 eV/atom. Its formation energy from raw total energies is 433.7 meV/atom.

It has space group P4/mmm (No. 123), with a = 5.945 Å, b = 5.945 Å, c = 6.463 Å, α = 90.00°, β = 90.00° and γ = 90.00°. The distinct sites, in fractional coordinates, are Sr at (0.000, 0.000, 0.000), Ag at (0.000, 0.500, 0.000), Hg at (0.000, 0.000, 0.500) and Cl at (0.500, 0.500, 0.500).

=====

# 3
Computed, not measured: a relaxed structure of SrAg2HgCl8 at the PBE level of DFT.

The value obtained for the electronic total energy is -2.695 eV/atom. Its formation energy from raw total energies is -823.4 meV/atom.

It has space group I-4 (No. 82), with a = 6.790 Å, b = 6.790 Å, c = 14.163 Å, α = 90.00°, β = 90.00° and γ = 90.00°. The distinct sites, in fractional coordinates, are Sr at (0.000, 0.000, 0.000), Ag at (0.000, 0.000, 0.500), Ag at (0.000, 0.500, 0.750), Hg at (0.000, 0.500, 0.250), Cl at (0.154, 0.296, 0.441) and Cl at (0.183, 0.805, 0.811).

=====

# 4
Computed, not measured: a relaxed structure of SrAgHgCl5 at the PBE level of DFT.

The value obtained for the electronic total energy is -2.963 eV/atom. Its formation energy from raw total energies is -1204.1 meV/atom.

It has space group C2/c (No. 15), with a = 9.521 Å, b = 11.687 Å, c = 10.295 Å, α = 90.00°, β = 117.33° and γ = 90.00°. The distinct sites, in fractional coordinates, are Sr at (0.250, 0.250, 0.000), Ag at (0.000, 0.090, 0.250), Hg at (0.000, 0.419, 0.250), Cl at (0.000, 0.129, 0.750), Cl at (0.024, 0.265, 0.436) and Cl at (0.225, 0.443, 0.811).

=====

# 5
Computed, not measured: a relaxed structure of Ag4HgTeCl2 at the PBE level of DFT.

The value obtained for the electronic total energy is -2.472 eV/atom. Its formation energy from raw total energies is -154.5 meV/atom.

It has space group C2/c (No. 15), with a = 11.616 Å, b = 11.315 Å, c = 8.078 Å, α = 90.00°, β = 133.92° and γ = 90.00°. The distinct sites, in fractional coordinates, are Ag at (0.001, 0.243, 0.009), Ag at (0.244, 0.003, 0.994), Hg at (0.000, 0.500, 0.000), Te at (0.250, 0.250, 0.500), Cl at (0.000, 0.000, 0.000) and Cl at (0.250, 0.250, 0.000).

=====

# 6
Computed, not measured: a relaxed structure of AgHgTe2Cl at the PBE level of DFT.

The value obtained for the electronic total energy is -1.991 eV/atom. Its formation energy from raw total energies is 266.0 meV/atom.

It has space group P4/mmm (No. 123), with a = 5.532 Å, b = 5.532 Å, c = 4.947 Å, α = 90.00°, β = 90.00° and γ = 90.00°. The distinct sites, in fractional coordinates, are Ag at (0.000, 0.000, 0.000), Hg at (0.500, 0.500, 0.500), Te at (0.000, 0.500, 0.000) and Cl at (0.000, 0.000, 0.500).

=====

# 7
Computed, not measured: a relaxed structure of TiAgHgCl6 at the PBE level of DFT.

The value obtained for the electronic total energy is -3.449 eV/atom. Its formation energy from raw total energies is -990.8 meV/atom.

It has space group C2 (No. 5), with a = 6.796 Å, b = 11.664 Å, c = 7.077 Å, α = 90.00°, β = 110.17° and γ = 90.00°. The distinct sites, in fractional coordinates, are Ti at (0.000, 0.000, 0.000), Ag at (0.000, 0.336, 0.000), Hg at (0.000, 0.525, 0.500), Cl at (0.204, 0.152, 0.210), Cl at (0.219, 0.997, 0.804) and Cl at (0.223, 0.866, 0.223).

=====

# 8
Computed, not measured: a relaxed structure of TlAg2HgCl6 at the PBE level of DFT.

The value obtained for the electronic total energy is -2.476 eV/atom. Its formation energy from raw total energies is -531.1 meV/atom.

It has space group C2/c (No. 15), with a = 13.529 Å, b = 13.377 Å, c = 7.855 Å, α = 90.00°, β = 102.76° and γ = 90.00°. The distinct sites, in fractional coordinates, are Tl at (0.000, 0.094, 0.250), Ag at (0.204, 0.452, 0.185), Hg at (0.000, 0.249, 0.750), Cl at (0.108, 0.259, 0.030), Cl at (0.113, 0.464, 0.428) and Cl at (0.128, 0.090, 0.640).

=====

# 9
Computed, not measured: a relaxed structure of Tl2AgHgCl6 at the PBE level of DFT.

The value obtained for the electronic total energy is -2.597 eV/atom. Its formation energy from raw total energies is -700.1 meV/atom.

It has space group P2_1/c (No. 14), with a = 7.779 Å, b = 7.452 Å, c = 12.325 Å, α = 90.00°, β = 119.66° and γ = 90.00°. The distinct sites, in fractional coordinates, are Tl at (0.191, 0.054, 0.225), Ag at (0.000, 0.000, 0.500), Hg at (0.500, 0.000, 0.000), Cl at (0.143, 0.233, 0.953), Cl at (0.191, 0.699, 0.937) and Cl at (0.386, 0.017, 0.783).

=====

# 10
Computed, not measured: a relaxed structure of Tl3AgHg2Cl8 at the PBE level of DFT.

The value obtained for the electronic total energy is -2.525 eV/atom. Its formation energy from raw total energies is -715.8 meV/atom.

It has space group P-3m1 (No. 164), with a = 7.4999 Å, b = 7.4999 Å, c = 9.2258 Å, α = 90.00°, β = 90.00° and γ = 120.00°. The distinct sites, in fractional coordinates, are Tl at (0.0000, 0.0000, 0.0000), Tl at (0.3333, 0.6667, 0.5833), Ag at (0.0000, 0.0000, 0.5000), Hg at (0.3333, 0.6667, 0.1741), Cl at (0.1611, 0.3223, 0.3143) and Cl at (0.3333, 0.6667, 0.9120).

=====

# 11
Computed, not measured: a relaxed structure of TlAgHg2Cl8 at the PBE level of DFT.

The value obtained for the electronic total energy is -2.293 eV/atom. Its formation energy from raw total energies is -576.4 meV/atom.

It has space group P-1 (No. 2), with a = 6.486 Å, b = 7.039 Å, c = 7.954 Å, α = 94.17°, β = 99.80° and γ = 90.74°. The distinct sites, in fractional coordinates, are Tl at (0.000, 0.000, 0.000), Ag at (0.000, 0.000, 0.500), Hg at (0.491, 0.484, 0.253), Cl at (0.211, 0.861, 0.768), Cl at (0.240, 0.869, 0.245), Cl at (0.250, 0.354, 0.011) and Cl at (0.262, 0.363, 0.523).

=====

# 12
Computed, not measured: a relaxed structure of Tl3AgHg2Cl9 at the PBE level of DFT.

The value obtained for the electronic total energy is -2.487 eV/atom. Its formation energy from raw total energies is -675.0 meV/atom.

It has space group P-3m1 (No. 164), with a = 7.4151 Å, b = 7.4151 Å, c = 9.1696 Å, α = 90.00°, β = 90.00° and γ = 120.00°. The distinct sites, in fractional coordinates, are Tl at (0.0000, 0.0000, 0.0000), Tl at (0.3333, 0.6667, 0.6325), Ag at (0.0000, 0.0000, 0.5000), Hg at (0.3333, 0.6667, 0.1694), Cl at (0.0000, 0.5000, 0.0000) and Cl at (0.1668, 0.3336, 0.3390).

=====

# 13
Computed, not measured: a relaxed structure of VAg2HgCl at the PBE level of DFT.

The value obtained for the electronic total energy is -2.997 eV/atom. Its formation energy from raw total energies is 396.8 meV/atom.

It has space group P4/mmm (No. 123), with a = 5.361 Å, b = 5.361 Å, c = 4.450 Å, α = 90.00°, β = 90.00° and γ = 90.00°. The distinct sites, in fractional coordinates, are V at (0.000, 0.000, 0.000), Ag at (0.000, 0.500, 0.000), Hg at (0.500, 0.500, 0.500) and Cl at (0.000, 0.000, 0.500).

=====

# 14
Computed, not measured: a relaxed structure of VAgHgCl6 at the PBE level of DFT.

The value obtained for the electronic total energy is -3.358 eV/atom. Its formation energy from raw total energies is -763.4 meV/atom.

It has space group C2 (No. 5), with a = 6.580 Å, b = 11.390 Å, c = 5.849 Å, α = 90.00°, β = 90.12° and γ = 90.00°. The distinct sites, in fractional coordinates, are V at (0.000, 0.000, 0.000), Ag at (0.000, 0.667, 0.000), Hg at (0.000, 0.333, 0.500), Cl at (0.146, 0.851, 0.764), Cl at (0.151, 0.148, 0.764) and Cl at (0.202, 0.502, 0.763).

=====

# 15
Computed, not measured: a relaxed structure of VAg2HgCl6 at the PBE level of DFT.

The value obtained for the electronic total energy is -3.337 eV/atom. Its formation energy from raw total energies is -716.4 meV/atom.

It has space group P-1 (No. 2), with a = 6.658 Å, b = 6.832 Å, c = 7.194 Å, α = 69.98°, β = 80.15° and γ = 65.40°. The distinct sites, in fractional coordinates, are V at (0.000, 0.000, 0.000), Ag at (0.303, 0.447, 0.891), Hg at (0.500, 0.500, 0.500), Cl at (0.006, 0.634, 0.194), Cl at (0.140, 0.016, 0.253) and Cl at (0.366, 0.822, 0.873).

=====

# 16
Computed, not measured: a relaxed structure of YAgHgCl6 at the PBE level of DFT.

The value obtained for the electronic total energy is -3.572 eV/atom. Its formation energy from raw total energies is -1272.2 meV/atom.

It has space group P-31c (No. 163), with a = 6.7946 Å, b = 6.7946 Å, c = 12.3320 Å, α = 90.00°, β = 90.00° and γ = 120.00°. The distinct sites, in fractional coordinates, are Y at (0.3333, 0.6667, 0.2500), Ag at (0.0000, 0.0000, 0.0000), Hg at (0.3333, 0.6667, 0.7500) and Cl at (0.0068, 0.3475, 0.1271).

=====

# 17
Computed, not measured: a relaxed structure of ZnAg2HgCl6 at the PBE level of DFT.

The value obtained for the electronic total energy is -2.462 eV/atom. Its formation energy from raw total energies is -626.5 meV/atom.

It has space group P1 (No. 1), with a = 6.782 Å, b = 6.800 Å, c = 7.093 Å, α = 61.57°, β = 61.47° and γ = 60.10°. The distinct sites, in fractional coordinates, are Zn at (0.000, 0.000, 0.000), Ag at (0.289, 0.288, 0.137), Ag at (0.778, 0.778, 0.668), Hg at (0.507, 0.505, 0.485), Cl at (0.102, 0.737, 0.802), Cl at (0.204, 0.618, 0.289), Cl at (0.359, 0.100, 0.804), Cl at (0.623, 0.891, 0.287), Cl at (0.737, 0.360, 0.802) and Cl at (0.892, 0.202, 0.288).

=====

# 18
Computed, not measured: a relaxed structure of ZnAgHgCl2 at the PBE level of DFT.

The value obtained for the electronic total energy is -1.693 eV/atom. Its formation energy from raw total energies is -69.0 meV/atom.

It has space group P4/mmm (No. 123), with a = 4.914 Å, b = 4.914 Å, c = 6.086 Å, α = 90.00°, β = 90.00° and γ = 90.00°. The distinct sites, in fractional coordinates, are Zn at (0.000, 0.000, 0.000), Ag at (0.500, 0.500, 0.500), Hg at (0.500, 0.500, 0.000) and Cl at (0.000, 0.500, 0.500).

=====

# 19
Computed, not measured: a relaxed structure of ZrAgHgCl6 at the PBE level of DFT.

The value obtained for the electronic total energy is -3.641 eV/atom. Its formation energy from raw total energies is -1109.5 meV/atom.

It has space group C2 (No. 5), with a = 6.876 Å, b = 11.906 Å, c = 6.428 Å, α = 90.00°, β = 90.44° and γ = 90.00°. The distinct sites, in fractional coordinates, are Zr at (0.000, 0.000, 0.000), Ag at (0.000, 0.667, 0.000), Hg at (0.000, 0.333, 0.500), Cl at (0.134, 0.848, 0.775), Cl at (0.161, 0.145, 0.777) and Cl at (0.202, 0.509, 0.775).

=====

# 20
Computed, not measured: a relaxed structure of HoAg5Cl8 at the PBE level of DFT.

The value obtained for the electronic total energy is -3.314 eV/atom. Its formation energy from raw total energies is -914.0 meV/atom.

It has space group I-4 (No. 82), with a = 8.947 Å, b = 8.947 Å, c = 8.251 Å, α = 90.00°, β = 90.00° and γ = 90.00°. The distinct sites, in fractional coordinates, are Ho at (0.000, 0.000, 0.000), Ag at (0.000, 0.500, 0.750), Ag at (0.156, 0.753, 0.420), Cl at (0.016, 0.800, 0.699) and Cl at (0.028, 0.720, 0.099).